DFT (PBE) results for an optimized crystal structure of ZrScSiPt2.

Summary:
space-group type = P4/mmm (123)
formation energy without anion corrections = -0.210 eV/atom

a = 4.5570 Å, b = 4.5570 Å, c = 4.7632 Å
α = 90.00°, β = 90.00°, γ = 90.00°
Last column: nearest neighbours and their distance in Å.
Atoms (fractional coordinates):
Zr1 0.0000 0.0000 0.0000  4 Sc 3.22, 8 Pt 3.30
Sc1 0.5000 0.5000 0.0000  2 Si 2.38
Si1 0.5000 0.5000 0.5000  4 Pt 2.28, 2 Sc 2.38
Pt1 0.0000 0.5000 0.5000  2 Si 2.28
Pt2 0.5000 0.0000 0.5000  2 Si 2.28

***

DFT (PBE) results for an optimized crystal structure of In2CuSe.

Summary:
space-group type = P4mm (99)
formation energy without anion corrections = 0.004 eV/atom

a = 3.5103 Å, b = 3.5103 Å, c = 8.0299 Å
α = 90.00°, β = 90.00°, γ = 90.00°
Last column: nearest neighbours and their distance in Å.
Atoms (fractional coordinates):
In1 0.0000 0.0000 0.0000  1 Se 2.78
In2 0.5000 0.5000 0.2792  1 Cu 2.75
Cu1 0.5000 0.5000 0.6215  4 Se 2.50, 1 In 2.75
Se1 0.0000 0.0000 0.6544  4 Cu 2.50, 1 In 2.78

***

DFT (PBE) results for an optimized crystal structure of Tc2PtAu2.

Summary:
space-group type = P4/mbm (127)
energy relative to the lowest polymorph listed for this composition = 0 meV per atom
ΔE_f = 0.5202 eV/atom

a = 6.6104 Å, b = 6.6104 Å, c = 4.0450 Å
α = 90.00°, β = 90.00°, γ = 90.00°
Last column: nearest neighbours and their distance in Å.
Atoms (fractional coordinates):
Tc1 0.1190 0.3810 0.0000  1 Tc 2.22
Tc2 0.3810 0.8810 0.0000  1 Tc 2.22
Tc3 0.6190 0.1190 0.0000  1 Tc 2.22
Tc4 0.8810 0.6190 0.0000  1 Tc 2.22
Pt1 0.0000 0.0000 0.0000  4 Tc 2.64
Pt2 0.5000 0.5000 0.0000  4 Tc 2.64
Au1 0.1766 0.6766 0.5000  6 Tc 2.78-2.84
Au2 0.3234 0.1766 0.5000  6 Tc 2.78-2.84
Au3 0.6766 0.8234 0.5000  6 Tc 2.78-2.84
Au4 0.8234 0.3234 0.5000  6 Tc 2.78-2.84

***

DFT (PBE) results for an optimized crystal structure of LaSiNi2.

Summary:
space-group type = F-43m (216)
formation energy without anion corrections = 0.018 eV/atom

a = 6.5197 Å, b = 6.5197 Å, c = 6.5197 Å
α = 90.00°, β = 90.00°, γ = 90.00°
Last column: nearest neighbours and their distance in Å.
Atoms (fractional coordinates):
La1 0.0000 0.0000 0.0000  4 Si 2.82, 4 Ni 2.82
La2 0.0000 0.5000 0.5000  4 Si 2.82, 4 Ni 2.82
La3 0.5000 0.0000 0.5000  4 Si 2.82, 4 Ni 2.82
La4 0.5000 0.5000 0.0000  4 Si 2.82, 4 Ni 2.82
Si1 0.2500 0.2500 0.7500  4 La 2.82, 4 Ni 2.82
Si2 0.2500 0.7500 0.2500  4 La 2.82, 4 Ni 2.82
Si3 0.7500 0.2500 0.2500  4 La 2.82, 4 Ni 2.82
Si4 0.7500 0.7500 0.7500  4 La 2.82, 4 Ni 2.82
Ni1 0.0000 0.0000 0.5000  4 Ni 2.82, 4 Si 2.82
Ni2 0.0000 0.5000 0.0000  4 Ni 2.82, 4 Si 2.82
Ni3 0.2500 0.2500 0.2500  4 La 2.82, 4 Ni 2.82
Ni4 0.2500 0.7500 0.7500  4 La 2.82, 4 Ni 2.82
Ni5 0.5000 0.0000 0.0000  4 Ni 2.82, 4 Si 2.82
Ni6 0.5000 0.5000 0.5000  4 Ni 2.82, 4 Si 2.82
Ni7 0.7500 0.2500 0.7500  4 La 2.82, 4 Ni 2.82
Ni8 0.7500 0.7500 0.2500  4 La 2.82, 4 Ni 2.82

***

DFT (PBE) results for an optimized crystal structure of Sm5Tl3Cd.

Summary:
space-group type = P6_3/mcm (193)
ΔE_f = -0.3379 eV/atom

a = 9.5021 Å, b = 9.5021 Å, c = 6.7912 Å
α = 90.00°, β = 90.00°, γ = 120.00°
Last column: nearest neighbours and their distance in Å.
Atoms (fractional coordinates):
Sm1 0.0000 0.2900 0.2500  5 Tl 3.21-3.48, 2 Cd 3.24
Sm2 0.0000 0.7100 0.7500  5 Tl 3.21-3.48, 2 Cd 3.24
Sm3 0.2900 0.0000 0.2500  5 Tl 3.21-3.48, 2 Cd 3.24
Sm4 0.2900 0.2900 0.7500  5 Tl 3.21-3.48, 2 Cd 3.24
Sm5 0.3333 0.6667 0.0000  8 Sm 3.40-3.79, 6 Tl 3.45
Sm6 0.3333 0.6667 0.5000  8 Sm 3.40-3.79, 6 Tl 3.45
Sm7 0.6667 0.3333 0.0000  8 Sm 3.40-3.79, 6 Tl 3.45
Sm8 0.6667 0.3333 0.5000  8 Sm 3.40-3.79, 6 Tl 3.45
Sm9 0.7100 0.0000 0.7500  5 Tl 3.21-3.48, 2 Cd 3.24
Sm10 0.7100 0.7100 0.2500  5 Tl 3.21-3.48, 2 Cd 3.24
Tl1 0.0000 0.3703 0.7500  9 Sm 3.21-3.48
Tl2 0.0000 0.6297 0.2500  9 Sm 3.21-3.48
Tl3 0.3703 0.0000 0.7500  9 Sm 3.21-3.48
Tl4 0.3703 0.3703 0.2500  9 Sm 3.21-3.48
Tl5 0.6297 0.0000 0.2500  9 Sm 3.21-3.48
Tl6 0.6297 0.6297 0.7500  9 Sm 3.21-3.48
Cd1 0.0000 0.0000 0.0000  6 Sm 3.24, 2 Cd 3.40
Cd2 0.0000 0.0000 0.5000  6 Sm 3.24, 2 Cd 3.40

***

DFT (PBE) results for an optimized crystal structure of Hg5As2Br5.

Summary:
space-group type = P-1 (2)
formation energy without anion corrections = -0.208 eV/atom

a = 4.4637 Å, b = 7.7058 Å, c = 11.3391 Å
α = 105.48°, β = 91.11°, γ = 95.80°
Last column: nearest neighbours and their distance in Å.
Atoms (fractional coordinates):
Hg1 0.0000 0.0000 0.0000  2 As 2.61
Hg2 0.0162 0.8000 0.5963  1 As 2.56, 1 Br 2.59
Hg3 0.4478 0.5441 0.8185  2 As 2.64-2.70, 1 Br 2.68
Hg4 0.5522 0.4559 0.1815  2 As 2.64-2.70, 1 Br 2.68
Hg5 0.9838 0.2000 0.4037  1 As 2.56, 1 Br 2.59
As1 0.0123 0.2718 0.1959  4 Hg 2.56-2.70
As2 0.9877 0.7282 0.8041  4 Hg 2.56-2.70
Br1 0.1227 0.8186 0.3762  1 Hg 2.59
Br2 0.4965 0.2478 0.8959  1 Hg 2.68
Br3 0.5000 0.5000 0.5000  4 Hg 3.05-3.31
Br4 0.5035 0.7522 0.1041  1 Hg 2.68
Br5 0.8773 0.1814 0.6238  1 Hg 2.59

***

DFT (PBE) results for an optimized crystal structure of Na2TiAgS4.

Summary:
space-group type = P2/m (10)
formation energy without anion corrections = -0.886 eV/atom

a = 7.0678 Å, b = 3.6273 Å, c = 7.1355 Å
α = 90.00°, β = 115.45°, γ = 90.00°
Last column: nearest neighbours and their distance in Å.
Atoms (fractional coordinates):
Na1 0.0000 0.0000 0.0000  4 S 2.82
Na2 0.0000 0.5000 0.5000  6 S 2.77-2.87
Ti1 0.5000 0.0000 0.5000  6 S 2.46-2.49
Ag1 0.5000 0.5000 0.0000  4 S 2.50
S1 0.2630 0.5000 0.3023  2 Ti 2.46
S2 0.3298 0.0000 0.7418  1 Ti 2.49, 2 Ag 2.50
S3 0.6702 0.0000 0.2582  1 Ti 2.49, 2 Ag 2.50
S4 0.7370 0.5000 0.6977  2 Ti 2.46

***

DFT (PBE) results for an optimized crystal structure of Tm3Al2Cd4.

Summary:
space-group type = C2/m (12)
ΔE_f = -0.3288 eV/atom

a = 5.9156 Å, b = 5.9156 Å, c = 8.9815 Å
α = 115.54°, β = 115.54°, γ = 47.82°
Last column: nearest neighbours and their distance in Å.
Atoms (fractional coordinates):
Tm1 0.0000 0.0000 0.0000  8 Cd 3.15-3.41, 4 Al 3.24, 2 Tm 3.43
Tm2 0.3346 0.3346 0.3305  8 Cd 3.16-3.37, 4 Al 3.22-3.29, 2 Tm 3.43
Tm3 0.6654 0.6654 0.6695  8 Cd 3.16-3.37, 4 Al 3.22-3.29, 2 Tm 3.43
Al1 0.3920 0.3920 0.7246  3 Cd 2.74-2.76
Al2 0.6080 0.6080 0.2754  3 Cd 2.74-2.76
Cd1 0.0758 0.0758 0.4050  2 Al 2.76, 1 Cd 2.87
Cd2 0.2980 0.2980 0.9601  1 Al 2.74, 2 Cd 2.84
Cd3 0.7020 0.7020 0.0399  1 Al 2.74, 2 Cd 2.84
Cd4 0.9242 0.9242 0.5950  2 Al 2.76, 1 Cd 2.87

***

DFT (PBE) results for an optimized crystal structure of LiTlCd2Pt.

Summary:
space-group type = P4/mmm (123)
ΔE_f = -0.1086 eV/atom

a = 5.2694 Å, b = 5.2694 Å, c = 4.7373 Å
α = 90.00°, β = 90.00°, γ = 90.00°
Last column: nearest neighbours and their distance in Å.
Atoms (fractional coordinates):
Li1 0.0000 0.0000 0.0000  2 Pt 2.37
Tl1 0.5000 0.5000 0.0000  8 Cd 3.54, 4 Li 3.73
Cd1 0.0000 0.5000 0.5000  2 Pt 2.63
Cd2 0.5000 0.0000 0.5000  2 Pt 2.63
Pt1 0.0000 0.0000 0.5000  2 Li 2.37, 4 Cd 2.63

***

DFT (PBE) results for an optimized crystal structure of Na2Sn5Hg12.

Summary:
space-group type = C2/m (12)
ΔE_f = -0.0291 eV/atom

a = 8.0571 Å, b = 8.0571 Å, c = 8.4309 Å
α = 105.06°, β = 105.06°, γ = 81.56°
Last column: nearest neighbours and their distance in Å.
Atoms (fractional coordinates):
Na1 0.2446 0.7554 0.0000  10 Hg 3.16-3.48
Na2 0.7554 0.2446 0.0000  10 Hg 3.16-3.48
Sn1 0.0000 0.0000 0.5000  6 Hg 3.17-3.26, 4 Sn 3.18-3.50
Sn2 0.1763 0.1763 0.2962  6 Hg 3.16-3.33, 2 Sn 3.18-3.22
Sn3 0.3035 0.3035 0.6994  7 Hg 3.01-3.32, 1 Sn 3.22
Sn4 0.6965 0.6965 0.3006  7 Hg 3.01-3.32, 1 Sn 3.22
Sn5 0.8237 0.8237 0.7038  6 Hg 3.16-3.33, 2 Sn 3.18-3.22
Hg1 0.0627 0.5404 0.1976  5 Hg 3.05-3.35, 2 Sn 3.20-3.27, 1 Na 3.38
Hg2 0.1117 0.1117 0.8999  3 Hg 3.15-3.51, 4 Sn 3.16-3.33, 2 Na 3.16
Hg3 0.1812 0.6389 0.5955  3 Sn 3.01-3.28, 3 Hg 3.14-3.35, 1 Na 3.22
Hg4 0.3611 0.8188 0.4045  3 Sn 3.01-3.28, 3 Hg 3.14-3.35, 1 Na 3.22
Hg5 0.4138 0.4138 0.1176  3 Hg 3.05-3.35, 2 Na 3.17, 2 Sn 3.26-3.31
Hg6 0.4596 0.9373 0.8024  5 Hg 3.05-3.35, 2 Sn 3.20-3.27, 1 Na 3.38
Hg7 0.5404 0.0627 0.1976  5 Hg 3.05-3.35, 2 Sn 3.20-3.27, 1 Na 3.38
Hg8 0.5862 0.5862 0.8824  3 Hg 3.05-3.35, 2 Na 3.17, 2 Sn 3.26-3.31
Hg9 0.6389 0.1812 0.5955  3 Sn 3.01-3.28, 3 Hg 3.14-3.35, 1 Na 3.22
Hg10 0.8188 0.3611 0.4045  3 Sn 3.01-3.28, 3 Hg 3.14-3.35, 1 Na 3.22
Hg11 0.8883 0.8883 0.1001  3 Hg 3.15-3.51, 4 Sn 3.16-3.33, 2 Na 3.16
Hg12 0.9373 0.4596 0.8024  5 Hg 3.05-3.35, 2 Sn 3.20-3.27, 1 Na 3.38

***

DFT (PBE) results for an optimized crystal structure of HfTlTe2.

Summary:
space-group type = Cmcm (63)
formation energy without anion corrections = -0.118 eV/atom

a = 3.3127 Å, b = 25.8081 Å, c = 5.7321 Å
α = 90.00°, β = 90.00°, γ = 90.00°
Last column: nearest neighbours and their distance in Å.
Atoms (fractional coordinates):
Hf1 0.0000 0.0480 0.2500  4 Te 2.87-2.95
Hf2 0.0000 0.9520 0.7500  4 Te 2.87-2.95
Hf3 0.5000 0.4520 0.7500  4 Te 2.87-2.95
Hf4 0.5000 0.5480 0.2500  4 Te 2.87-2.95
Tl1 0.0000 0.2985 0.2500  2 Tl 3.31, 5 Te 3.46-3.52
Tl2 0.0000 0.7015 0.7500  2 Tl 3.31, 5 Te 3.46-3.52
Tl3 0.5000 0.2015 0.7500  2 Tl 3.31, 5 Te 3.46-3.52
Tl4 0.5000 0.7985 0.2500  2 Tl 3.31, 5 Te 3.46-3.52
Te1 0.0000 0.0630 0.7500  3 Hf 2.87-2.89
Te2 0.0000 0.1622 0.2500  1 Hf 2.95
Te3 0.0000 0.8378 0.7500  1 Hf 2.95
Te4 0.0000 0.9370 0.2500  3 Hf 2.87-2.89
Te5 0.5000 0.3378 0.7500  1 Hf 2.95
Te6 0.5000 0.4370 0.2500  3 Hf 2.87-2.89
Te7 0.5000 0.5630 0.7500  3 Hf 2.87-2.89
Te8 0.5000 0.6622 0.2500  1 Hf 2.95

***

DFT (PBE) results for an optimized crystal structure of K2GeS2.

Summary:
space-group type = C2/m (12)
formation energy without anion corrections = -0.848 eV/atom
energy relative to the lowest polymorph listed for this composition = 0 meV per atom

a = 7.8507 Å, b = 7.8507 Å, c = 6.9878 Å
α = 96.27°, β = 96.27°, γ = 47.27°
Last column: nearest neighbours and their distance in Å.
Atoms (fractional coordinates):
K1 0.0688 0.0688 0.2626  4 S 3.17-3.49, 1 Ge 3.38
K2 0.3582 0.3582 0.1549  5 S 3.14-3.48
K3 0.6418 0.6418 0.8451  5 S 3.14-3.48
K4 0.9312 0.9312 0.7374  4 S 3.17-3.49, 1 Ge 3.38
Ge1 0.2591 0.2591 0.5965  2 S 2.22-2.25
Ge2 0.7409 0.7409 0.4035  2 S 2.22-2.25
S1 0.1588 0.1588 0.8205  1 Ge 2.25
S2 0.4070 0.4070 0.7282  1 Ge 2.22
S3 0.5930 0.5930 0.2718  1 Ge 2.22
S4 0.8412 0.8412 0.1795  1 Ge 2.25

***

Values for total magnetization, μB per cell, ordered as above
0.96; 0.00; 0.00; 0.00; 0.00; 0.00; 0.00; 0.00; 0.00; 0.00; 0.00; 0.00
Values for energy, eV per atom, ordered as above
-6.687; -3.261; -6.145; -5.460; -3.850; -1.805; -4.623; -3.058; -2.539; -1.412; -4.768; -3.861